First-principles (PBE) data for an optimized crystal structure of PrNdNi, as listed in Alexandria.

Properties
- ΔE to the lowest computed polymorph (meV per atom) = 112
- energy of formation from the pure elements (eV per atom) = -0.090
- crystal system = trigonal
- DOS at the Fermi energy (states/eV/f.u.) = 3.0

a = 3.9623 Å, b = 3.9623 Å, c = 6.5296 Å
α = 90.00°, β = 90.00°, γ = 120.00°
Space group P3m1 (No. 156)
Symmetry-distinct sites (fractional):
Pr1 0.0000 0.0000 0.0000
Nd1 0.6667 0.3333 0.5027
Ni1 0.3333 0.6667 0.7488